Record 1
VASP calculation (PBE) on a relaxed Na2AsAuO4 crystal.

```
Na2AsAuO4
1.0
5.350 0.227 0.348
-2.074 4.937 -0.348
-2.074 -2.306 4.379
O Au As Na
4 1 1 2
Direct
0.992 0.172 0.493 O
0.008 0.502 0.180 O
0.322 0.820 0.828 O
0.678 0.507 0.498 O
0.500 0.250 0.750 Au
0.000 0.500 0.500 As
0.000 0.000 0.000 Na
0.500 0.750 0.250 Na
```

Calculated values
As for the space group: No. 82. The calculation puts the formation energy from raw total energies at -1.159 eV per atom. Its total energy is -4.958 eV per atom. As for the density: 5.3 g/cm3. The calculation puts the spin magnetization at 0.0 μB/f.u.

Record 2
VASP calculation (PBE) on a relaxed Na2SrMg crystal.

```
Na2SrMg
1.0
-4.185 -0.250 -0.374
0.423 -3.383 -2.468
-0.304 -4.921 6.695
Mg Na Sr
1 2 1
Direct
0.500 0.500 0.000 Mg
0.000 0.000 0.205 Na
0.000 0.000 0.795 Na
0.500 0.500 0.500 Sr
```

Calculated values
As for the space group: No. 123. The energy of formation comes out at 0.094 eV per atom. Its total energy is -1.384 eV per atom. As for the density: 1.8 g/cm3. The calculation puts the spin magnetization at 0.0 μB/f.u.